Compound: Ac2AgI
Source: Alexandria
Functional: PBE-GGA
Structure: optimized geometry

Computed properties:
Excess energy over the best structure of this formula in the dataset   0.1437 eV/atom
Formation energy from raw total energies   -0.428 eV/atom
M_tot   0.0 μB per cell
Space group   Fm-3m (225)
Final energy   -14.329 eV per cell

```
Ac2AgI
1.0
0.000 4.081 4.081
4.081 0.000 4.081
4.081 4.081 0.000
Ac Ag I
2 1 1
Direct
0.250 0.250 0.250 Ac
0.750 0.750 0.750 Ac
0.000 0.000 0.000 Ag
0.500 0.500 0.500 I
```

---

Compound: AcAg3I6
Source: Alexandria
Functional: PBE-GGA
Structure: optimized geometry

Computed properties:
Formation energy from raw total energies   -0.674 eV/atom
M_tot   0.0 μB per cell
Space group   P-1 (2)
Final energy   -28.701 eV per cell

```
AcAg3I6
1.0
8.724 0.000 0.000
-3.882 7.820 0.000
-4.226 -2.782 7.391
Ac Ag I
1 3 6
Direct
0.000 0.000 0.000 Ac
0.000 0.500 0.000 Ag
0.000 0.500 0.500 Ag
0.500 0.000 0.000 Ag
0.006 0.721 0.230 I
0.054 0.263 0.316 I
0.491 0.772 0.774 I
0.509 0.228 0.226 I
0.946 0.737 0.684 I
0.994 0.279 0.770 I
```

---

Compound: Ac2AgI
Source: Alexandria
Functional: PBE-GGA
Structure: optimized geometry

Computed properties:
Excess energy over the best structure of this formula in the dataset   0.0128 eV/atom
Formation energy from raw total energies   -0.559 eV/atom
M_tot   0.0 μB per cell
Space group   R3m (160)
Final energy   -14.853 eV per cell

```
Ac2AgI
1.0
2.288 1.321 8.495
-2.288 1.321 8.495
0.000 -2.642 8.495
Ac Ag I
2 1 1
Direct
0.000 0.000 0.000 Ac
0.194 0.194 0.194 Ac
0.598 0.598 0.598 Ag
0.430 0.430 0.430 I
```

---

Compound: Ac4AgIrI2
Source: Alexandria
Functional: PBE-GGA
Structure: optimized geometry

Computed properties:
Formation energy from raw total energies   -0.838 eV/atom
M_tot   0.0 μB per cell
Space group   P2/m (10)
Final energy   -37.948 eV per cell

```
Ac4AgIrI2
1.0
7.902 0.000 0.000
0.000 4.499 0.000
-2.626 0.000 8.645
Ac Ag Ir I
4 1 1 2
Direct
0.213 0.000 0.187 Ac
0.245 0.500 0.810 Ac
0.755 0.500 0.190 Ac
0.787 0.000 0.813 Ac
0.500 0.000 0.000 Ag
0.000 0.500 0.000 Ir
0.000 0.000 0.500 I
0.500 0.500 0.500 I
```

---

Compound: Ac8AgIr3I4
Source: Alexandria
Functional: PBE-GGA
Structure: optimized geometry

Computed properties:
Formation energy from raw total energies   -0.960 eV/atom
M_tot   0.0 μB per cell
Space group   R-3m (166)
Final energy   -83.855 eV per cell

```
Ac8AgIr3I4
1.0
4.459 2.574 8.643
-4.459 2.574 8.643
0.000 -5.148 8.643
Ac Ag Ir I
8 1 3 4
Direct
0.211 0.738 0.738 Ac
0.228 0.228 0.228 Ac
0.262 0.262 0.789 Ac
0.262 0.789 0.262 Ac
0.738 0.211 0.738 Ac
0.738 0.738 0.211 Ac
0.772 0.772 0.772 Ac
0.789 0.262 0.262 Ac
0.500 0.500 0.500 Ag
0.000 0.000 0.500 Ir
0.000 0.500 0.000 Ir
0.500 0.000 0.000 Ir
0.000 0.000 0.000 I
0.000 0.500 0.500 I
0.500 0.000 0.500 I
0.500 0.500 0.000 I
```

---

Compound: KAcAgI5
Source: Alexandria
Functional: PBE-GGA
Structure: optimized geometry

Computed properties:
Formation energy from raw total energies   -1.183 eV/atom
M_tot   0.0 μB per cell
Space group   C2/c (15)
Final energy   -50.538 eV per cell

```
KAcAgI5
1.0
5.133 -7.039 0.000
5.133 7.039 0.000
-4.578 0.000 10.987
K Ac Ag I
2 2 2 10
Direct
0.131 0.869 0.750 K
0.869 0.131 0.250 K
0.500 0.500 0.000 Ac
0.500 0.500 0.500 Ac
0.187 0.813 0.250 Ag
0.813 0.187 0.750 Ag
0.110 0.241 0.945 I
0.162 0.563 0.371 I
0.241 0.110 0.445 I
0.399 0.601 0.750 I
0.437 0.838 0.129 I
0.563 0.162 0.871 I
0.601 0.399 0.250 I
0.759 0.890 0.555 I
0.838 0.437 0.629 I
0.890 0.759 0.055 I
```

---

Compound: K2AcAgI6
Source: Alexandria
Functional: PBE-GGA
Structure: optimized geometry

Computed properties:
Formation energy from raw total energies   -1.236 eV/atom
M_tot   0.0 μB per cell
Space group   P2_1/c (14)
Final energy   -61.629 eV per cell

```
K2AcAgI6
1.0
8.294 0.000 0.000
0.000 8.857 0.000
-8.075 0.000 11.971
K Ac Ag I
4 2 2 12
Direct
0.211 0.089 0.245 K
0.211 0.411 0.745 K
0.789 0.589 0.255 K
0.789 0.911 0.755 K
0.500 0.000 0.000 Ac
0.500 0.500 0.500 Ac
0.000 0.000 0.500 Ag
0.000 0.500 0.000 Ag
0.121 0.198 0.939 I
0.121 0.302 0.439 I
0.249 0.688 0.943 I
0.249 0.812 0.443 I
0.359 0.032 0.739 I
0.359 0.468 0.239 I
0.641 0.532 0.761 I
0.641 0.968 0.261 I
0.751 0.188 0.557 I
0.751 0.312 0.057 I
0.879 0.698 0.561 I
0.879 0.802 0.061 I
```

---

Compound: Ac8Ni3AgI4
Source: Alexandria
Functional: PBE-GGA
Structure: optimized geometry

Computed properties:
Formation energy from raw total energies   -0.675 eV/atom
M_tot   0.0 μB per cell
Space group   R-3m (166)
Final energy   -70.064 eV per cell

```
Ac8Ni3AgI4
1.0
4.448 2.568 8.603
-4.448 2.568 8.603
0.000 -5.136 8.603
Ac Ni Ag I
8 3 1 4
Direct
0.211 0.737 0.737 Ac
0.228 0.228 0.228 Ac
0.263 0.263 0.789 Ac
0.263 0.789 0.263 Ac
0.737 0.211 0.737 Ac
0.737 0.737 0.211 Ac
0.772 0.772 0.772 Ac
0.789 0.263 0.263 Ac
0.000 0.000 0.500 Ni
0.000 0.500 0.000 Ni
0.500 0.000 0.000 Ni
0.500 0.500 0.500 Ag
0.000 0.000 0.000 I
0.000 0.500 0.500 I
0.500 0.000 0.500 I
0.500 0.500 0.000 I
```

---

Compound: Ac2AgIO6
Source: Alexandria
Functional: PBE-GGA
Structure: optimized geometry

Computed properties:
Formation energy from raw total energies   -1.787 eV/atom
M_tot   0.0 μB per cell
Space group   P1 (1)
Final energy   -60.233 eV per cell

```
Ac2AgIO6
1.0
6.197 0.000 0.000
3.058 5.391 0.000
3.058 1.782 5.092
Ac Ag I O
2 1 1 6
Direct
0.000 0.000 0.000 Ac
0.485 0.485 0.485 Ac
0.258 0.258 0.257 Ag
0.774 0.774 0.774 I
0.053 0.416 0.655 O
0.097 0.884 0.592 O
0.416 0.655 0.053 O
0.592 0.097 0.883 O
0.655 0.053 0.416 O
0.884 0.592 0.097 O
```

---

Compound: AcAg2IO8
Source: Alexandria
Functional: PBE-GGA
Structure: optimized geometry

Computed properties:
Formation energy from raw total energies   -0.459 eV/atom
M_tot   4.1 μB per cell
Space group   P-3m1 (164)
Final energy   -56.532 eV per cell

```
AcAg2IO8
1.0
5.386 0.000 0.000
-2.693 4.664 0.000
0.000 0.000 6.815
Ac Ag I O
1 2 1 8
Direct
0.000 0.000 0.000 Ac
0.333 0.667 0.357 Ag
0.667 0.333 0.643 Ag
0.000 0.000 0.500 I
0.162 0.323 0.668 O
0.162 0.838 0.668 O
0.323 0.162 0.332 O
0.333 0.667 0.054 O
0.667 0.333 0.946 O
0.677 0.838 0.668 O
0.838 0.162 0.332 O
0.838 0.677 0.332 O
```

---

Compound: Ac3Ag3IO8
Source: Alexandria
Functional: PBE-GGA
Structure: optimized geometry

Computed properties:
Formation energy from raw total energies   -1.554 eV/atom
M_tot   0.4 μB per cell
Space group   C2/m (12)
Final energy   -85.408 eV per cell

```
Ac3Ag3IO8
1.0
6.494 -3.618 0.000
6.494 3.618 0.000
-2.549 0.000 6.002
Ac Ag I O
3 3 1 8
Direct
0.000 0.000 0.000 Ac
0.000 0.500 0.500 Ac
0.500 0.000 0.500 Ac
0.000 0.500 0.000 Ag
0.500 0.000 0.000 Ag
0.500 0.500 0.500 Ag
0.500 0.500 0.000 I
0.212 0.212 0.216 O
0.226 0.226 0.738 O
0.247 0.671 0.751 O
0.329 0.753 0.249 O
0.671 0.247 0.751 O
0.753 0.329 0.249 O
0.774 0.774 0.262 O
0.788 0.788 0.784 O
```

---

Compound: Ac8AgOs3I4
Source: Alexandria
Functional: PBE-GGA
Structure: optimized geometry

Computed properties:
Formation energy from raw total energies   -0.640 eV/atom
M_tot   0.0 μB per cell
Space group   R-3m (166)
Final energy   -85.854 eV per cell

```
Ac8AgOs3I4
1.0
4.441 2.564 8.623
-4.441 2.564 8.623
0.000 -5.127 8.623
Ac Ag Os I
8 1 3 4
Direct
0.207 0.740 0.740 Ac
0.229 0.229 0.229 Ac
0.260 0.260 0.793 Ac
0.260 0.793 0.260 Ac
0.740 0.207 0.740 Ac
0.740 0.740 0.207 Ac
0.771 0.771 0.771 Ac
0.793 0.260 0.260 Ac
0.500 0.500 0.500 Ag
0.000 0.000 0.500 Os
0.000 0.500 0.000 Os
0.500 0.000 0.000 Os
0.000 0.000 0.000 I
0.000 0.500 0.500 I
0.500 0.000 0.500 I
0.500 0.500 0.000 I
```

---

Q: What is the M_tot in the first record?
A: 0.0 μB per cell

---

Repeat the fourth record exactly.
Compound: Ac4AgIrI2
Source: Alexandria
Functional: PBE-GGA
Structure: optimized geometry

Computed properties:
Formation energy from raw total energies   -0.838 eV/atom
M_tot   0.0 μB per cell
Space group   P2/m (10)
Final energy   -37.948 eV per cell

```
Ac4AgIrI2
1.0
7.902 0.000 0.000
0.000 4.499 0.000
-2.626 0.000 8.645
Ac Ag Ir I
4 1 1 2
Direct
0.213 0.000 0.187 Ac
0.245 0.500 0.810 Ac
0.755 0.500 0.190 Ac
0.787 0.000 0.813 Ac
0.500 0.000 0.000 Ag
0.000 0.500 0.000 Ir
0.000 0.000 0.500 I
0.500 0.500 0.500 I
```